# 1
First-principles (PBE) data for crystalline MgAs4Ir at its relaxed geometry, as listed in Alexandria via LeMat-Bulk.

## Properties
size of the total moment: 0.00 μB/cell
formation energy: 0.58 eV per atom
density: 7.524 g cm⁻³

a b c (Å): 5.4413 5.4413 5.4413
angles (deg): 60.00 60.00 60.00
With the nearest neighbours (Å) after each atom.
Fractional coordinates of all 6 atoms:
1 Mg 0.0000 0.0000 0.0000  12 As 3.19, 4 Ir 3.33
2 As 0.1226 0.6258 0.6258  6 As 2.70-2.74
3 As 0.6258 0.1226 0.6258  6 As 2.70-2.74
4 As 0.6258 0.6258 0.1226  6 As 2.70-2.74
5 As 0.6258 0.6258 0.6258  6 As 2.70-2.74
6 Ir 0.2500 0.2500 0.2500  12 As 3.19, 4 Mg 3.33

# 2
First-principles (PBE) data for crystalline MgAs3Ir at its relaxed geometry, as listed in Alexandria via LeMat-Bulk.

## Properties
excess energy over the best structure of this formula in the dataset: 0.00 eV/f.u.
size of the total moment: 0.00 μB/cell
formation energy: 0.46 eV per atom
density: 6.205 g cm⁻³

a b c (Å): 4.9061 4.9061 4.9061
angles (deg): 90.00 90.00 90.00
With the nearest neighbours (Å) after each atom.
Fractional coordinates of all 5 atoms:
1 Mg 0.0000 0.0000 0.0000  12 As 3.47
2 As 0.0000 0.5000 0.5000  2 Ir 2.45
3 As 0.5000 0.0000 0.5000  2 Ir 2.45
4 As 0.5000 0.5000 0.0000  2 Ir 2.45
5 Ir 0.5000 0.5000 0.5000  6 As 2.45

# 3
First-principles (PBE) data for crystalline MgAsIr at its relaxed geometry, as listed in Alexandria via LeMat-Bulk.

## Properties
size of the total moment: 0.00 μB/cell
formation energy: -0.19 eV per atom
density: 9.000 g cm⁻³

a b c (Å): 3.2105 3.2105 6.0241
angles (deg): 90.00 90.00 120.00
With the nearest neighbours (Å) after each atom.
Fractional coordinates of all 3 atoms:
1 Mg 0.0000 0.0000 0.0000  3 Ir 2.77, 3 As 3.00
2 As 0.6667 0.3333 0.3908  3 Ir 2.46
3 Ir 0.3333 0.6667 0.6582  3 As 2.46

# 4
First-principles (PBE) data for crystalline Mg2AsIr at its relaxed geometry, as listed in Alexandria via LeMat-Bulk.

## Properties
size of the total moment: 0.00 μB/cell
formation energy: -0.32 eV per atom
density: 7.909 g cm⁻³

a b c (Å): 3.0643 3.7496 5.7695
angles (deg): 90.00 90.00 90.00
With the nearest neighbours (Å) after each atom.
Fractional coordinates of all 4 atoms:
1 Mg 0.0000 0.0000 0.2338  1 Mg 2.70, 4 Ir 2.77, 4 As 2.87
2 Mg 0.0000 0.0000 0.7662  1 Mg 2.70, 4 Ir 2.77, 4 As 2.87
3 As 0.5000 0.5000 0.5000  8 Mg 2.87, 2 Ir 2.88, 2 As 3.06
4 Ir 0.5000 0.5000 0.0000  8 Mg 2.77, 2 As 2.88, 2 Ir 3.06

Number 1: D(E_F) 2.38 states/eV/f.u.. Number 2: D(E_F) 4.17 states/eV/f.u.. Number 3: D(E_F) 0.77 states/eV/f.u.. Number 4: D(E_F) 0.89 states/eV/f.u..